Record 1
# Ho5Ga2Pd12, relaxed, DFT PBE
# Crystal system: monoclinic
# VASP energy: -205.089 eV per cell
# Energy of formation from the pure elements: -1089 kJ/mol of formula units
# N(E_F): 19.75 states/eV/cell
data_Ho5Ga2Pd12
_cell_length_a 15.7180
_cell_length_b 5.6407
_cell_length_c 9.7069
_cell_angle_alpha 90.00
_cell_angle_beta 117.89
_cell_angle_gamma 90.00
_symmetry_space_group_name_H-M 'C 1 2/m 1'
_symmetry_Int_Tables_number 12
_symmetry_space_group_name_Hall '-C 2y'
loop_
_atom_site_label
_atom_site_type_symbol
_atom_site_fract_x
_atom_site_fract_y
_atom_site_fract_z
Ho1 Ho 0.0000 0.0000 0.0000
Ho2 Ho 0.1782 0.5000 0.9976
Ho3 Ho 0.1892 0.5000 0.5180
Ga1 Ga 0.0000 0.2542 0.5000
Pd1 Pd 0.0051 0.5000 0.2566
Pd2 Pd 0.0932 0.0000 0.4018
Pd3 Pd 0.1553 0.2549 0.2250
Pd4 Pd 0.1585 0.2405 0.7429

Record 2
# Zr6Pd2C, relaxed, DFT PBE
# Crystal system: monoclinic
# VASP energy: -149.442 eV per cell
# Energy of formation from the pure elements: -369 kJ/mol of formula units
# N(E_F): 17.60 states/eV/cell
data_Zr6Pd2C
_cell_length_a 5.9856
_cell_length_b 6.4828
_cell_length_c 10.8786
_cell_angle_alpha 90.00
_cell_angle_beta 121.29
_cell_angle_gamma 90.00
_symmetry_space_group_name_H-M 'P 1 21/c 1'
_symmetry_Int_Tables_number 14
_symmetry_space_group_name_Hall '-P 2ybc'
loop_
_atom_site_label
_atom_site_type_symbol
_atom_site_fract_x
_atom_site_fract_y
_atom_site_fract_z
Zr1 Zr 0.1162 0.0157 0.2392
Zr2 Zr 0.2248 0.6936 0.0463
Zr3 Zr 0.3636 0.1886 0.0503
Pd1 Pd 0.3196 0.0932 0.7546
C1 C 0.0000 0.0000 0.0000

Record 3
# Sm4Er2Th3, relaxed, DFT PBE
# Crystal system: monoclinic
# VASP energy: -99.729 eV per cell
# ΔE to the lowest computed polymorph: 0 meV/atom
# Energy of formation from the pure elements: 38 kJ/mol of formula units
# N(E_F): 26.83 states/eV/cell
data_Sm4Er2Th3
_cell_length_a 15.5774
_cell_length_b 3.6025
_cell_length_c 10.7542
_cell_angle_alpha 90.00
_cell_angle_beta 103.86
_cell_angle_gamma 90.00
_symmetry_space_group_name_H-M 'C 1 2/m 1'
_symmetry_Int_Tables_number 12
_symmetry_space_group_name_Hall '-C 2y'
loop_
_atom_site_label
_atom_site_type_symbol
_atom_site_fract_x
_atom_site_fract_y
_atom_site_fract_z
Sm1 Sm 0.0038 0.0000 0.3365
Sm2 Sm 0.1627 0.5000 0.8856
Er1 Er 0.1647 0.5000 0.2209
Th1 Th 0.0000 0.0000 0.0000
Th2 Th 0.1721 0.5000 0.5586

Record 4
# Pm5Sm2Y5, relaxed, DFT PBE
# Crystal system: monoclinic
# VASP energy: -130.660 eV per cell
# Energy of formation from the pure elements: 18 kJ/mol of formula units
# N(E_F): 34.85 states/eV/cell
data_Pm5Sm2Y5
_cell_length_a 15.3209
_cell_length_b 5.1146
_cell_length_c 11.4208
_cell_angle_alpha 90.00
_cell_angle_beta 116.60
_cell_angle_gamma 90.00
_symmetry_space_group_name_H-M 'C 1 2/m 1'
_symmetry_Int_Tables_number 12
_symmetry_space_group_name_Hall '-C 2y'
loop_
_atom_site_label
_atom_site_type_symbol
_atom_site_fract_x
_atom_site_fract_y
_atom_site_fract_z
Pm1 Pm 0.0000 0.0000 0.0000
Pm2 Pm 0.0836 0.0000 0.7504
Pm3 Pm 0.1665 0.0000 0.4994
Sm1 Sm 0.0830 0.5000 0.2496
Y1 Y 0.0000 0.5000 0.5000
Y2 Y 0.1673 0.5000 0.0007
Y3 Y 0.2497 0.0000 0.2493

Record 5
# RbScSb2, relaxed, DFT PBE
# Crystal system: trigonal
# VASP energy: -51.640 eV per cell
# E_form (uncorrected): -0.42 eV per atom
# ΔE to the lowest computed polymorph: 97 meV/atom
# N(E_F): 9.50 states/eV/cell
data_RbScSb2
_cell_length_a 4.5160
_cell_length_b 4.5160
_cell_length_c 24.5166
_cell_angle_alpha 90.00
_cell_angle_beta 90.00
_cell_angle_gamma 120.00
_symmetry_space_group_name_H-M 'R 3 m'
_symmetry_Int_Tables_number 160
_symmetry_space_group_name_Hall 'R 3 -2"'
loop_
_atom_site_label
_atom_site_type_symbol
_atom_site_fract_x
_atom_site_fract_y
_atom_site_fract_z
Rb1 Rb 0.0000 0.0000 0.0000
Sc1 Sc 0.0000 0.0000 0.1706
Sb1 Sb 0.0000 0.0000 0.5585
Sb2 Sb 0.0000 0.0000 0.7812

Record 6
# K2CrTcMo, relaxed, DFT PBE
# Crystal system: tetragonal
# VASP energy: -21.527 eV per cell
# Energy of formation from the pure elements: 1108 kJ/mol of formula units
# N(E_F): 6.08 states/eV/cell
data_K2CrTcMo
_cell_length_a 6.4170
_cell_length_b 6.4170
_cell_length_c 4.1947
_cell_angle_alpha 90.00
_cell_angle_beta 90.00
_cell_angle_gamma 90.00
_symmetry_space_group_name_H-M 'P 4/m m m'
_symmetry_Int_Tables_number 123
_symmetry_space_group_name_Hall '-P 4 2'
loop_
_atom_site_label
_atom_site_type_symbol
_atom_site_fract_x
_atom_site_fract_y
_atom_site_fract_z
K1 K 0.0000 0.5000 0.0000
Cr1 Cr 0.0000 0.0000 0.5000
Tc1 Tc 0.5000 0.5000 0.5000
Mo1 Mo 0.0000 0.0000 0.0000

Record 7
# ZrBiF, relaxed, DFT PBE
# Crystal system: orthorhombic
# VASP energy: -73.943 eV per cell
# E_form (uncorrected): -1.40 eV per atom
# N(E_F): 4.58 states/eV/cell
data_ZrBiF
_cell_length_a 4.1008
_cell_length_b 15.4206
_cell_length_c 4.4793
_cell_angle_alpha 90.00
_cell_angle_beta 90.00
_cell_angle_gamma 90.00
_symmetry_space_group_name_H-M 'C m c m'
_symmetry_Int_Tables_number 63
_symmetry_space_group_name_Hall '-C 2c 2'
loop_
_atom_site_label
_atom_site_type_symbol
_atom_site_fract_x
_atom_site_fract_y
_atom_site_fract_z
Zr1 Zr 0.0000 0.0839 0.2500
Bi1 Bi 0.0000 0.4054 0.2500
F1 F 0.0000 0.2126 0.2500

Record 8
# Dy2Tc3Ge4, relaxed, DFT PBE
# Crystal system: orthorhombic
# VASP energy: -249.079 eV per cell
# Energy of formation from the pure elements: -338 kJ/mol of formula units
# N(E_F): 24.43 states/eV/cell
data_Dy2Tc3Ge4
_cell_length_a 5.4533
_cell_length_b 9.4170
_cell_length_c 12.9736
_cell_angle_alpha 90.00
_cell_angle_beta 90.00
_cell_angle_gamma 90.00
_symmetry_space_group_name_H-M 'F m m m'
_symmetry_Int_Tables_number 69
_symmetry_space_group_name_Hall '-F 2 2'
loop_
_atom_site_label
_atom_site_type_symbol
_atom_site_fract_x
_atom_site_fract_y
_atom_site_fract_z
Dy1 Dy 0.0000 0.0000 0.1351
Tc1 Tc 0.0000 0.0000 0.5000
Tc2 Tc 0.2500 0.2500 0.0000
Ge1 Ge 0.0000 0.1650 0.3390

Record 9
# MgCrCo2, relaxed, DFT PBE
# Crystal system: tetragonal
# VASP energy: -24.363 eV per cell
# Energy of formation from the pure elements: 103 kJ/mol of formula units
# N(E_F): 2.91 states/eV/cell
data_MgCrCo2
_cell_length_a 2.5998
_cell_length_b 2.5998
_cell_length_c 7.5356
_cell_angle_alpha 90.00
_cell_angle_beta 90.00
_cell_angle_gamma 90.00
_symmetry_space_group_name_H-M 'P 4 m m'
_symmetry_Int_Tables_number 99
_symmetry_space_group_name_Hall 'P 4 -2'
loop_
_atom_site_label
_atom_site_type_symbol
_atom_site_fract_x
_atom_site_fract_y
_atom_site_fract_z
Mg1 Mg 0.0000 0.0000 0.0000
Cr1 Cr 0.5000 0.5000 0.7038
Co1 Co 0.0000 0.0000 0.4771
Co2 Co 0.5000 0.5000 0.2679

Record 10
# Ni4PbAu, relaxed, DFT PBE
# Crystal system: cubic
# VASP energy: -116.294 eV per cell
# Energy of formation from the pure elements: 100 kJ/mol of formula units
# N(E_F): 31.26 states/eV/cell
data_Ni4PbAu
_cell_length_a 7.0041
_cell_length_b 7.0041
_cell_length_c 7.0041
_cell_angle_alpha 90.00
_cell_angle_beta 90.00
_cell_angle_gamma 90.00
_symmetry_space_group_name_H-M 'F -4 3 m'
_symmetry_Int_Tables_number 216
_symmetry_space_group_name_Hall 'F -4 2 3'
loop_
_atom_site_label
_atom_site_type_symbol
_atom_site_fract_x
_atom_site_fract_y
_atom_site_fract_z
Ni1 Ni 0.1255 0.1255 0.1255
Pb1 Pb 0.2500 0.2500 0.7500
Au1 Au 0.0000 0.0000 0.5000

Record 11
# CaTc3P2, relaxed, DFT PBE
# Crystal system: monoclinic
# VASP energy: -281.242 eV per cell
# Energy of formation from the pure elements: -285 kJ/mol of formula units
# N(E_F): 33.86 states/eV/cell
data_CaTc3P2
_cell_length_a 15.7484
_cell_length_b 4.0555
_cell_length_c 9.4185
_cell_angle_alpha 90.00
_cell_angle_beta 104.48
_cell_angle_gamma 90.00
_symmetry_space_group_name_H-M 'C 1 2/m 1'
_symmetry_Int_Tables_number 12
_symmetry_space_group_name_Hall '-C 2y'
loop_
_atom_site_label
_atom_site_type_symbol
_atom_site_fract_x
_atom_site_fract_y
_atom_site_fract_z
Ca1 Ca 0.0000 0.0000 0.0000
Ca2 Ca 0.1621 0.0000 0.7135
Tc1 Tc 0.0000 0.5000 0.5000
Tc2 Tc 0.0331 0.0000 0.3577
Tc3 Tc 0.1168 0.5000 0.2120
Tc4 Tc 0.1770 0.5000 0.9885
Tc5 Tc 0.2041 0.0000 0.3868
P1 P 0.0397 0.5000 0.7928
P2 P 0.1507 0.5000 0.4744
P3 P 0.2004 0.0000 0.1308

Record 12
# TbHoMnHg, relaxed, DFT PBE
# Crystal system: cubic
# VASP energy: -76.035 eV per cell
# Energy of formation from the pure elements: -32 kJ/mol of formula units
# N(E_F): 22.86 states/eV/cell
data_TbHoMnHg
_cell_length_a 7.2714
_cell_length_b 7.2714
_cell_length_c 7.2714
_cell_angle_alpha 90.00
_cell_angle_beta 90.00
_cell_angle_gamma 90.00
_symmetry_space_group_name_H-M 'F -4 3 m'
_symmetry_Int_Tables_number 216
_symmetry_space_group_name_Hall 'F -4 2 3'
loop_
_atom_site_label
_atom_site_type_symbol
_atom_site_fract_x
_atom_site_fract_y
_atom_site_fract_z
Tb1 Tb 0.0000 0.0000 0.0000
Ho1 Ho 0.0000 0.0000 0.5000
Mn1 Mn 0.2500 0.2500 0.7500
Hg1 Hg 0.2500 0.2500 0.2500

Record 13
# Sm2NpTl3Se6, relaxed, DFT PBE
# Crystal system: monoclinic
# VASP energy: -129.915 eV per cell
# E_form (uncorrected): -1.21 eV per atom
# N(E_F): 11.69 states/eV/cell
data_Sm2NpTl3Se6
_cell_length_a 7.3898
_cell_length_b 12.7984
_cell_length_c 8.1243
_cell_angle_alpha 90.00
_cell_angle_beta 107.65
_cell_angle_gamma 90.00
_symmetry_space_group_name_H-M 'C 1 2/m 1'
_symmetry_Int_Tables_number 12
_symmetry_space_group_name_Hall '-C 2y'
loop_
_atom_site_label
_atom_site_type_symbol
_atom_site_fract_x
_atom_site_fract_y
_atom_site_fract_z
Sm1 Sm 0.0000 0.1667 0.0000
Np1 Np 0.0000 0.5000 0.0000
Tl1 Tl 0.0000 0.0000 0.5000
Tl2 Tl 0.0000 0.3330 0.5000
Se1 Se 0.2348 0.3343 0.2075
Se2 Se 0.2380 0.0000 0.2079

Record 14
# Nd7Er12Cd, relaxed, DFT PBE
# Crystal system: trigonal
# VASP energy: -255.958 eV per cell
# Energy of formation from the pure elements: 359 kJ/mol of formula units
# N(E_F): 100.26 states/eV/cell
data_Nd7Er12Cd
_cell_length_a 12.2830
_cell_length_b 12.2830
_cell_length_c 15.2073
_cell_angle_alpha 90.00
_cell_angle_beta 90.00
_cell_angle_gamma 120.00
_symmetry_space_group_name_H-M 'R -3'
_symmetry_Int_Tables_number 148
_symmetry_space_group_name_Hall '-R 3'
loop_
_atom_site_label
_atom_site_type_symbol
_atom_site_fract_x
_atom_site_fract_y
_atom_site_fract_z
Nd1 Nd 0.0000 0.0000 0.0000
Nd2 Nd 0.0151 0.4317 0.7000
Er1 Er 0.0314 0.1855 0.8076
Er2 Er 0.0712 0.8177 0.4235
Cd1 Cd 0.0000 0.0000 0.5000

Record 15
# LaMg2MnH8, relaxed, DFT PBE
# Crystal system: triclinic
# VASP energy: -48.185 eV per cell
data_LaMg2MnH8
_cell_length_a 4.5062
_cell_length_b 4.7525
_cell_length_c 5.5555
_cell_angle_alpha 72.64
_cell_angle_beta 89.98
_cell_angle_gamma 89.98
_symmetry_space_group_name_H-M 'P -1'
_symmetry_Int_Tables_number 2
_symmetry_space_group_name_Hall '-P 1'
loop_
_atom_site_label
_atom_site_type_symbol
_atom_site_fract_x
_atom_site_fract_y
_atom_site_fract_z
La1 La 0.0000 0.0000 0.0000
Mg1 Mg 0.5001 0.4193 0.2860
Mn1 Mn 0.0000 0.5000 0.5000
H1 H 0.0012 0.5677 0.7805
H2 H 0.2442 0.2362 0.6010
H3 H 0.2454 0.7622 0.3978
H4 H 0.4998 0.2184 0.0377

Record 16
# ScBe2Te, relaxed, DFT PBE
# Crystal system: trigonal
# VASP energy: -46.104 eV per cell
# E_form (uncorrected): 0.39 eV per atom
# N(E_F): 8.38 states/eV/cell
data_ScBe2Te
_cell_length_a 3.7002
_cell_length_b 3.7002
_cell_length_c 19.4559
_cell_angle_alpha 90.00
_cell_angle_beta 90.00
_cell_angle_gamma 120.00
_symmetry_space_group_name_H-M 'R -3 m'
_symmetry_Int_Tables_number 166
_symmetry_space_group_name_Hall '-R 3 2"'
loop_
_atom_site_label
_atom_site_type_symbol
_atom_site_fract_x
_atom_site_fract_y
_atom_site_fract_z
Sc1 Sc 0.0000 0.0000 0.0000
Be1 Be 0.0000 0.0000 0.2412
Te1 Te 0.0000 0.0000 0.5000

Record 17
# TaInIr, relaxed, DFT PBE
# Crystal system: hexagonal
# VASP energy: -23.668 eV per cell
# Energy of formation from the pure elements: -21 kJ/mol of formula units
# N(E_F): 2.00 states/eV/cell
data_TaInIr
_cell_length_a 4.5681
_cell_length_b 4.5681
_cell_length_c 2.9106
_cell_angle_alpha 90.00
_cell_angle_beta 90.00
_cell_angle_gamma 120.00
_symmetry_space_group_name_H-M 'P -6 m 2'
_symmetry_Int_Tables_number 187
_symmetry_space_group_name_Hall 'P -6 2'
loop_
_atom_site_label
_atom_site_type_symbol
_atom_site_fract_x
_atom_site_fract_y
_atom_site_fract_z
Ta1 Ta 0.0000 0.0000 0.0000
In1 In 0.3333 0.6667 0.5000
Ir1 Ir 0.6667 0.3333 0.5000

Record 18
# LiAu2, relaxed, DFT PBE
# Crystal system: tetragonal
# VASP energy: -37.473 eV per cell
# Energy of formation from the pure elements: -87 kJ/mol of formula units
# N(E_F): 2.58 states/eV/cell
data_LiAu2
_cell_length_a 3.1053
_cell_length_b 3.1053
_cell_length_c 21.1119
_cell_angle_alpha 90.00
_cell_angle_beta 90.00
_cell_angle_gamma 90.00
_symmetry_space_group_name_H-M 'I 41/a m d'
_symmetry_Int_Tables_number 141
loop_
_symmetry_equiv_pos_as_xyz
'x,y,z'
'-x,-y,-z'
'-y+1/4,x+3/4,z+1/4'
'y+1/4,-x+3/4,-z+1/4'
'-x+1/2,-y,z+1/2'
'x+1/2,y,-z+1/2'
'y+1/4,-x+1/4,z+3/4'
'-y+1/4,x+1/4,-z+3/4'
'x,-y,-z'
'-x,y,z'
'-y+1/4,-x+1/4,-z+3/4'
'y+1/4,x+1/4,z+3/4'
'-x+1/2,y,-z+1/2'
'x+1/2,-y,z+1/2'
'y+1/4,x+3/4,-z+1/4'
'-y+1/4,-x+3/4,z+1/4'
'x+1/2,y+1/2,z+1/2'
'-x+1/2,-y+1/2,-z+1/2'
'-y+3/4,x+1/4,z+3/4'
'y+3/4,-x+1/4,-z+3/4'
'-x,-y+1/2,z'
'x,y+1/2,-z'
'y+3/4,-x+3/4,z+1/4'
'-y+3/4,x+3/4,-z+1/4'
'x+1/2,-y+1/2,-z+1/2'
'-x+1/2,y+1/2,z+1/2'
'-y+3/4,-x+3/4,-z+1/4'
'y+3/4,x+3/4,z+1/4'
'-x,y+1/2,-z'
'x,-y+1/2,z'
'y+3/4,x+1/4,-z+3/4'
'-y+3/4,-x+1/4,z+3/4'
loop_
_atom_site_label
_atom_site_type_symbol
_atom_site_fract_x
_atom_site_fract_y
_atom_site_fract_z
Li1 Li 0.0000 0.2500 0.3750
Au1 Au 0.0000 0.2500 0.8057

Record 19
# CoNiIr2, relaxed, DFT PBE
# Crystal system: orthorhombic
# VASP energy: -59.849 eV per cell
# ΔE to the lowest computed polymorph: 166 meV/atom
# Energy of formation from the pure elements: 66 kJ/mol of formula units
# N(E_F): 13.26 states/eV/cell
data_CoNiIr2
_cell_length_a 2.7673
_cell_length_b 4.2861
_cell_length_c 8.6456
_cell_angle_alpha 90.00
_cell_angle_beta 90.00
_cell_angle_gamma 90.00
_symmetry_space_group_name_H-M 'I m m 2'
_symmetry_Int_Tables_number 44
_symmetry_space_group_name_Hall 'I 2 -2'
loop_
_atom_site_label
_atom_site_type_symbol
_atom_site_fract_x
_atom_site_fract_y
_atom_site_fract_z
Co1 Co 0.0000 0.0000 0.0000
Ni1 Ni 0.0000 0.5000 0.2727
Ir1 Ir 0.0000 0.0000 0.5259
Ir2 Ir 0.0000 0.5000 0.7555

Record 20
# Hf2ZnGa2Co5, relaxed, DFT PBE
# Crystal system: tetragonal
# VASP energy: -129.750 eV per cell
# Energy of formation from the pure elements: -204 kJ/mol of formula units
# N(E_F): 8.44 states/eV/cell
data_Hf2ZnGa2Co5
_cell_length_a 9.0846
_cell_length_b 9.0846
_cell_length_c 3.3406
_cell_angle_alpha 90.00
_cell_angle_beta 90.00
_cell_angle_gamma 90.00
_symmetry_space_group_name_H-M 'P 4/m b m'
_symmetry_Int_Tables_number 127
_symmetry_space_group_name_Hall '-P 4 2ab'
loop_
_atom_site_label
_atom_site_type_symbol
_atom_site_fract_x
_atom_site_fract_y
_atom_site_fract_z
Hf1 Hf 0.1729 0.3271 0.0000
Zn1 Zn 0.0000 0.0000 0.0000
Ga1 Ga 0.1255 0.6255 0.0000
Co1 Co 0.0000 0.5000 0.5000
Co2 Co 0.0599 0.7966 0.5000